Density functional theory data (GGA-PBE) for crystalline Ni2GeP at its relaxed geometry.

Values from the calculation:
Space-group type: Pbca
M_tot: 0.00 μB per atom
Energy above the lowest structure with this stoichiometry: 0.032 eV per atom
ΔE_f: -0.3611 eV per atom
Crystal system: orthorhombic

Structure (POSCAR):
```
Ni2GeP
1.0
4.9831 0.0000 0.0000
0.0000 14.0773 0.0000
0.0000 0.0000 6.0662
Ni Ge P
16 8 8
direct
0.0024 0.0755 0.2317 Ni
0.0024 0.4245 0.7317 Ni
0.0034 0.1977 0.7605 Ni
0.0034 0.3023 0.2605 Ni
0.4966 0.6977 0.7605 Ni
0.4966 0.8023 0.2605 Ni
0.4976 0.5755 0.2317 Ni
0.4976 0.9245 0.7317 Ni
0.5024 0.0755 0.2683 Ni
0.5024 0.4245 0.7683 Ni
0.5034 0.1977 0.7395 Ni
0.5034 0.3023 0.2395 Ni
0.9966 0.6977 0.7395 Ni
0.9966 0.8023 0.2395 Ni
0.9976 0.5755 0.2683 Ni
0.9976 0.9245 0.7683 Ni
0.2294 0.0595 0.5946 Ge
0.2294 0.4405 0.0946 Ge
0.2706 0.5595 0.5946 Ge
0.2706 0.9405 0.0946 Ge
0.7294 0.0595 0.9054 Ge
0.7294 0.4405 0.4054 Ge
0.7706 0.5595 0.9054 Ge
0.7706 0.9405 0.4054 Ge
0.2359 0.6865 0.0725 P
0.2359 0.8135 0.5725 P
0.2641 0.1865 0.0725 P
0.2641 0.3135 0.5725 P
0.7359 0.6865 0.4275 P
0.7359 0.8135 0.9275 P
0.7641 0.1865 0.4275 P
0.7641 0.3135 0.9275 P
```